DFT (PBE) results for crystalline Cs2KPb2Se4 at its relaxed geometry.

## Properties
total DFT energy (no corrections)	-31.5	eV for the cell shown
SG	No. 12
theoretical density	4.9	g/cm3
E_form (uncorrected)	-821	meV/atom

Cell lengths 8.857, 8.857, 7.968 Å; angles 105.03, 105.03, 35.45 degrees
Fractional coordinates of all 9 atoms:
Cs  0.129  0.129  0.053
Cs  0.871  0.871  0.947
K  0.000  0.000  0.500
Pb  0.338  0.338  0.485
Pb  0.662  0.662  0.515
Se  0.211  0.211  0.668
Se  0.474  0.474  0.768
Se  0.526  0.526  0.232
Se  0.789  0.789  0.332

***

DFT (PBE) results for crystalline AcLa3Pr7 at its relaxed geometry.

## Properties
total DFT energy (no corrections)	-50.4	eV for the cell shown
SG	No. 12
theoretical density	6.4	g/cm3
offset from the most stable computed form	0.0	meV/atom
E_form	0.18	eV/atom

Cell lengths 7.982, 7.982, 6.733 Å; angles 93.89, 93.89, 81.09 degrees
Fractional coordinates of all 11 atoms:
Ac  0.000  0.000  0.000
La  0.325  0.675  0.500
La  0.500  0.500  0.000
La  0.675  0.325  0.500
Pr  0.000  0.000  0.500
Pr  0.072  0.423  0.760
Pr  0.267  0.267  0.297
Pr  0.423  0.072  0.760
Pr  0.577  0.928  0.240
Pr  0.733  0.733  0.703
Pr  0.928  0.577  0.240

***

DFT (PBE) results for crystalline HoEr3Si4 at its relaxed geometry.

## Properties
total DFT energy (no corrections)	-44.3	eV for the cell shown
SG	No. 71
theoretical density	6.9	g/cm3
E_form (uncorrected)	-548	meV/atom

Cell lengths 8.547, 8.547, 8.547 Å; angles 153.42, 137.36, 50.95 degrees
Fractional coordinates of all 8 atoms:
Ho  0.000  0.000  0.000
Er  0.194  0.694  0.500
Er  0.500  0.500  0.000
Er  0.806  0.306  0.500
Si  0.182  0.868  0.313
Si  0.445  0.132  0.313
Si  0.555  0.868  0.687
Si  0.818  0.132  0.687

***

DFT (PBE) results for crystalline Zn6Cu12Si at its relaxed geometry.

## Properties
total DFT energy (no corrections)	-62.2	eV for the cell shown
SG	No. 148
theoretical density	7.9	g/cm3
E_form (uncorrected)	0	meV/atom

Cell lengths 6.291, 6.291, 6.291 Å; angles 91.81, 91.81, 91.81 degrees
Fractional coordinates of all 19 atoms:
Zn  0.217  0.385  0.775
Zn  0.225  0.783  0.615
Zn  0.385  0.775  0.217
Zn  0.615  0.225  0.783
Zn  0.775  0.217  0.385
Zn  0.783  0.615  0.225
Cu  0.034  0.948  0.292
Cu  0.052  0.708  0.966
Cu  0.133  0.455  0.353
Cu  0.292  0.034  0.948
Cu  0.353  0.133  0.455
Cu  0.455  0.353  0.133
Cu  0.545  0.647  0.867
Cu  0.647  0.867  0.545
Cu  0.708  0.966  0.052
Cu  0.867  0.545  0.647
Cu  0.948  0.292  0.034
Cu  0.966  0.052  0.708
Si  0.500  0.500  0.500